P) Entry from Alexandria: crystalline PmNpF6 at its relaxed geometry (PBE).

Computed properties:
Density of states at the Fermi level = 7.0 states/eV/f.u.
Total magnetization = 0.50 μB per atom
SG = P4_2/m

abc: 5.5081 5.5081 8.2264
angles: 90.00 90.00 90.00
Last column: nearest neighbours and their distance in Å.
Element x y z (fractional)
F: 0.3415 0.7024 0.5000  1 Np 2.49, 2 Pm 2.50, 2 F 2.75
F: 0.2612 0.8198 0.1791  1 Pm 2.27, 1 Np 2.29
F: 0.8198 0.7388 0.3209  1 Pm 2.27, 1 Np 2.29
Pm: 0.5000 0.5000 0.2500  8 F 2.27-2.50
Np: 0.0000 0.0000 0.0000  6 F 2.29-2.49
F: 0.7024 0.6585 0.0000  1 Np 2.49, 2 Pm 2.50, 2 F 2.75
Pm: 0.5000 0.5000 0.7500  8 F 2.27-2.50
F: 0.1802 0.2612 0.6791  1 Pm 2.27, 1 Np 2.29
F: 0.6585 0.2976 0.5000  1 Np 2.49, 2 Pm 2.50, 2 F 2.75
F: 0.7388 0.1802 0.1791  1 Pm 2.27, 1 Np 2.29
Np: 0.0000 0.0000 0.5000  6 F 2.29-2.49
F: 0.8198 0.7388 0.6791  1 Pm 2.27, 1 Np 2.29
F: 0.7388 0.1802 0.8209  1 Pm 2.27, 1 Np 2.29
F: 0.2976 0.3415 0.0000  1 Np 2.49, 2 Pm 2.50, 2 F 2.75
F: 0.1802 0.2612 0.3209  1 Pm 2.27, 1 Np 2.29
F: 0.2612 0.8198 0.8209  1 Pm 2.27, 1 Np 2.29



Q) Entry from Alexandria: crystalline PmNpF6 at its relaxed geometry (PBE).

Computed properties:
Density of states at the Fermi level = 3.3 states/eV/f.u.
Total magnetization = 0.50 μB per atom
SG = P-1

abc: 5.9337 5.9396 6.5270
angles: 62.88 62.86 59.90
Last column: nearest neighbours and their distance in Å.
Element x y z (fractional)
F: 0.8512 0.6456 0.2523  1 Pm 2.27, 1 Np 2.30
F: 0.7491 0.1486 0.7478  1 Pm 2.27, 1 Np 2.30
F: 0.2509 0.8514 0.2522  1 Pm 2.27, 1 Np 2.30
F: 0.1488 0.3544 0.7477  1 Pm 2.27, 1 Np 2.30
F: 0.3548 0.7485 0.7477  1 Pm 2.27, 1 Np 2.30
Np: 0.0000 0.0000 0.0000  6 F 2.30
F: 0.6452 0.2515 0.2523  1 Pm 2.27, 1 Np 2.30
Pm: 0.5000 0.5000 0.5000  6 F 2.27



Calculated relative energies: P) 0; Q) 21, given in meV per atom



P) Entry from Alexandria: crystalline Pu2NpF8 at its relaxed geometry (PBE).

Computed properties:
Density of states at the Fermi level = 30.8 states/eV/f.u.
Total magnetization = 1.36 μB per atom
SG = C2/m

abc: 4.0369 5.8108 7.4982
angles: 110.23 105.62 90.00
Last column: nearest neighbours and their distance in Å.
Element x y z (fractional)
Pu: 0.1780 0.6800 0.3560  9 F 2.39-2.62
F: 0.6650 0.9539 0.3301  3 Pu 2.49-2.62, 1 Np 2.49, 5 F 2.73-2.78
Np: 0.5000 0.0000 0.0000  8 F 2.40-2.49
F: 0.3350 0.0461 0.6699  3 Pu 2.49-2.62, 1 Np 2.49, 5 F 2.73-2.78
F: 0.7901 0.6952 0.5802  3 Pu 2.39-2.57, 1 F 2.67
F: 0.5958 0.4338 0.1916  1 Np 2.40, 2 Pu 2.51, 1 F 2.67
F: 0.4042 0.5662 0.8084  1 Np 2.40, 2 Pu 2.51, 1 F 2.67
F: 0.0286 0.7993 0.0572  2 Np 2.44, 1 Pu 2.49, 2 F 2.72
F: 0.9714 0.2007 0.9428  2 Np 2.44, 1 Pu 2.49, 2 F 2.72
F: 0.2099 0.3048 0.4198  3 Pu 2.39-2.57, 1 F 2.67
Pu: 0.8220 0.3200 0.6440  9 F 2.39-2.62



Q) Entry from Alexandria: crystalline Pu2NpF8 at its relaxed geometry (PBE).

Computed properties:
Density of states at the Fermi level = 21.5 states/eV/f.u.
Total magnetization = 1.36 μB per atom
SG = C2/m

abc: 4.1425 7.0678 7.2819
angles: 99.65 90.00 107.04
Last column: nearest neighbours and their distance in Å.
Element x y z (fractional)
F: 0.2038 0.4075 0.5654  3 Pu 2.43-2.46, 2 F 2.68
F: 0.4312 0.8625 0.2650  1 Np 2.28, 1 Pu 2.33
Pu: 0.7411 0.4823 0.7388  8 F 2.33-2.60
F: 0.9222 0.8444 0.8642  2 Np 2.45, 1 Pu 2.46, 3 F 2.62-2.71
Np: 0.5000 0.0000 0.0000  6 F 2.28-2.45
F: 0.6962 0.3924 0.0716  3 Pu 2.55-2.60, 1 Np 2.61, 6 F 2.71-2.83
Pu: 0.2589 0.5177 0.2612  8 F 2.33-2.60
F: 0.0778 0.1556 0.1358  2 Np 2.45, 1 Pu 2.46, 3 F 2.62-2.71
F: 0.7962 0.5925 0.4346  3 Pu 2.43-2.46, 2 F 2.68
F: 0.5688 0.1375 0.7350  1 Np 2.28, 1 Pu 2.33
F: 0.3038 0.6076 0.9284  3 Pu 2.55-2.60, 1 Np 2.61, 6 F 2.71-2.83



Calculated relative energies: P) 0; Q) 16, given in meV per atom



P) Entry from Alexandria: crystalline RbNpF4 at its relaxed geometry (PBE).

Computed properties:
Density of states at the Fermi level = 3.4 states/eV/f.u.
Total magnetization = 0.67 μB per atom
SG = Pnma

abc: 3.8266 6.5308 16.2326
angles: 90.00 90.00 90.00
Last column: nearest neighbours and their distance in Å.
Element x y z (fractional)
Rb: 0.7500 0.7753 0.8024  7 F 2.74-2.90
F: 0.7500 0.8999 0.1877  1 Np 2.32
F: 0.2500 0.1083 0.3703  2 Np 2.41
F: 0.2500 0.4933 0.4453  3 Np 2.50, 3 F 2.61-2.79, 1 Rb 2.77
F: 0.7500 0.8684 0.4603  3 Np 2.50-2.61, 1 F 2.75
Rb: 0.2500 0.2247 0.1976  7 F 2.74-2.90
F: 0.7500 0.5067 0.5547  3 Np 2.50, 3 F 2.61-2.79, 1 Rb 2.77
F: 0.2500 0.1001 0.8123  1 Np 2.32
F: 0.7500 0.0067 0.9453  3 Np 2.50, 3 F 2.61-2.79, 1 Rb 2.77
F: 0.2500 0.6083 0.1297  2 Np 2.41
Np: 0.7500 0.7479 0.0588  7 F 2.32-2.50
F: 0.7500 0.3917 0.8703  2 Np 2.41
Rb: 0.2500 0.7247 0.3024  7 F 2.74-2.90
F: 0.7500 0.8917 0.6297  2 Np 2.41
F: 0.2500 0.9933 0.0547  3 Np 2.50, 3 F 2.61-2.79, 1 Rb 2.77
Np: 0.2500 0.2521 0.9412  7 F 2.32-2.50
Np: 0.2500 0.7521 0.5588  7 F 2.32-2.50
F: 0.2500 0.6316 0.9603  3 Np 2.50-2.61, 1 F 2.75
Rb: 0.7500 0.2753 0.6976  7 F 2.74-2.90
F: 0.7500 0.3999 0.3123  1 Np 2.32
F: 0.2500 0.6001 0.6877  1 Np 2.32
F: 0.7500 0.3684 0.0397  3 Np 2.50-2.61, 1 F 2.75
F: 0.2500 0.1316 0.5397  3 Np 2.50-2.61, 1 F 2.75
Np: 0.7500 0.2479 0.4412  7 F 2.32-2.50



Q) Entry from Alexandria: crystalline RbNpF4 at its relaxed geometry (PBE).

Computed properties:
Density of states at the Fermi level = 4.7 states/eV/f.u.
Total magnetization = 0.67 μB per atom
SG = C2/c

abc: 6.1252 7.1100 7.2559
angles: 115.01 110.13 99.16
Last column: nearest neighbours and their distance in Å.
Element x y z (fractional)
F: 0.5878 0.3023 0.1013  2 Np 2.39-2.48, 2 F 2.60-2.67
F: 0.8063 0.7600 0.7023  1 Np 2.29
F: 0.6040 0.0577 0.2977  1 Np 2.29
F: 0.1937 0.2400 0.2977  1 Np 2.29
F: 0.4122 0.6977 0.8987  2 Np 2.39-2.48, 2 F 2.60-2.67
F: 0.0134 0.7990 0.1013  2 Np 2.39-2.48, 2 F 2.60-2.67
F: 0.3960 0.9423 0.7023  1 Np 2.29
Np: 0.2203 0.9703 0.9406  6 F 2.29-2.48
F: 0.9866 0.2010 0.8987  2 Np 2.39-2.48, 2 F 2.60-2.67
Rb: 0.6071 0.3571 0.7141  8 F 2.86-3.03
Rb: 0.3929 0.6429 0.2859  8 F 2.86-3.03
Np: 0.7797 0.0297 0.0594  6 F 2.29-2.48



Calculated relative energies: P) 0; Q) 105, given in meV per atom